Record 1
# AlRuW2

An optimized crystal structure of AlRuW2 (PBE-GGA, Alexandria).

Structure (CIF):
```
data_AlRuW2
_cell_length_a 2.781
_cell_length_b 4.345
_cell_length_c 5.107
_cell_angle_alpha 90.00
_cell_angle_beta 100.03
_cell_angle_gamma 90.00
_symmetry_space_group_name_H-M 'P 1 m 1'
_symmetry_Int_Tables_number 6
loop_
_symmetry_equiv_pos_as_xyz
'x,y,z'
'x,-y,z'
loop_
_atom_site_label
_atom_site_type_symbol
_atom_site_fract_x
_atom_site_fract_y
_atom_site_fract_z
_atom_site_occupancy
Al1 Al 0.000 0.000 0.000 1
Ru1 Ru 0.849 0.500 0.252 1
W1 W 0.369 0.500 0.765 1
W2 W 0.546 0.000 0.494 1
```

Properties
**Energy of formation**: -0.04 eV per atom
**Magnetic moment**: 0.0 μB/f.u.
**Calculated total energy**: -9.7706 eV per atom

=====

Record 2
# LiZnGaAg2

An optimized crystal structure of LiZnGaAg2 (PBE-GGA, Alexandria).

Structure (CIF):
```
data_LiZnGaAg2
_cell_length_a 5.544
_cell_length_b 4.371
_cell_length_c 6.756
_cell_angle_alpha 90.00
_cell_angle_beta 99.89
_cell_angle_gamma 90.00
_symmetry_space_group_name_H-M 'P 1 21/m 1'
_symmetry_Int_Tables_number 11
loop_
_symmetry_equiv_pos_as_xyz
'x,y,z'
'-x,-y,-z'
'-x,y+1/2,-z'
'x,-y+1/2,z'
loop_
_atom_site_label
_atom_site_type_symbol
_atom_site_fract_x
_atom_site_fract_y
_atom_site_fract_z
_atom_site_occupancy
Li1 Li 0.245 0.250 0.254 1
Zn1 Zn 0.349 0.750 0.946 1
Ga1 Ga 0.162 0.750 0.552 1
Ag1 Ag 0.045 0.250 0.854 1
Ag2 Ag 0.471 0.250 0.660 1
```

Properties
**Energy of formation**: -0.15 eV per atom
**Magnetic moment**: 0.0 μB/f.u.
**Calculated total energy**: -2.5321 eV per atom

=====

Record 3
# SrMgSi2Au5

An optimized crystal structure of SrMgSi2Au5 (PBE-GGA, Alexandria).

Structure (CIF):
```
data_SrMgSi2Au5
_cell_length_a 4.639
_cell_length_b 4.639
_cell_length_c 9.499
_cell_angle_alpha 90.00
_cell_angle_beta 90.00
_cell_angle_gamma 90.00
_symmetry_space_group_name_H-M 'P 4/m m m'
_symmetry_Int_Tables_number 123
_symmetry_space_group_name_Hall '-P 4 2'
loop_
_atom_site_label
_atom_site_type_symbol
_atom_site_fract_x
_atom_site_fract_y
_atom_site_fract_z
_atom_site_occupancy
Sr1 Sr 0.000 0.000 0.000 1
Mg1 Mg 0.000 0.000 0.500 1
Si1 Si 0.500 0.500 0.252 1
Au1 Au 0.000 0.500 0.334 1
Au2 Au 0.500 0.500 0.000 1
```

Properties
**Magnetic moment**: 0.0 μB/f.u.
**Calculated total energy**: -3.7612 eV per atom
**Formation energy (no corrections)**: -0.371 eV per atom